Record 1
VASP calculation (PBE) on Nd2Sm6Er3Mg after structural relaxation.

Summary:
- Energy relative to the elements: 0.01 eV/atom

abc: 6.199 6.199 11.819
angles: 95.03 95.03 120.05
Positions (direct):
1 Sm 0.247 0.247 0.746
2 Sm 0.753 0.753 0.254
3 Nd 0.667 0.333 0.000
4 Er 0.166 0.834 0.500
5 Sm 0.916 0.585 0.747
6 Sm 0.084 0.415 0.253
7 Nd 0.333 0.667 0.000
8 Er 0.500 0.500 0.500
9 Er 0.834 0.166 0.500
10 Mg 0.000 0.000 0.000
11 Sm 0.585 0.916 0.747
12 Sm 0.415 0.084 0.253

Record 2
VASP calculation (PBE) on ZnNi6 after structural relaxation.

Summary:
- Polymorph energy (0 for the lowest one): 0.000 eV/atom
- Energy relative to the elements: 0.20 eV/atom

abc: 4.679 4.679 7.752
angles: 90.00 90.00 90.00
Site moments in Bohr magnetons follow the coordinates.
Positions (direct):
1 Ni 0.000 0.000 0.852  0.47
2 Ni 0.176 0.324 0.364  0.63
3 Zn 0.500 0.000 0.000  -0.01
4 Ni 0.676 0.824 0.636  0.63
5 Zn 0.000 0.500 0.000  -0.01
6 Ni 0.824 0.324 0.636  0.63
7 Ni 0.324 0.176 0.636  0.63
8 Ni 0.676 0.176 0.364  0.63
9 Ni 0.500 0.500 0.148  0.47
10 Ni 0.500 0.500 0.852  0.47
11 Ni 0.824 0.676 0.364  0.63
12 Ni 0.000 0.000 0.148  0.47
13 Ni 0.176 0.676 0.636  0.63
14 Ni 0.324 0.824 0.364  0.63

What did the first record say?
VASP calculation (PBE) on Nd2Sm6Er3Mg after structural relaxation.

Summary:
- Energy relative to the elements: 0.01 eV/atom

abc: 6.199 6.199 11.819
angles: 95.03 95.03 120.05
Positions (direct):
1 Sm 0.247 0.247 0.746
2 Sm 0.753 0.753 0.254
3 Nd 0.667 0.333 0.000
4 Er 0.166 0.834 0.500
5 Sm 0.916 0.585 0.747
6 Sm 0.084 0.415 0.253
7 Nd 0.333 0.667 0.000
8 Er 0.500 0.500 0.500
9 Er 0.834 0.166 0.500
10 Mg 0.000 0.000 0.000
11 Sm 0.585 0.916 0.747
12 Sm 0.415 0.084 0.253